Entry 1:
A geometry-optimized Zr2AgI structure. Source: Alexandria, functional PBE.

Properties
size of the total moment: 0.00 μB per cell
E above lowest polymorph: 0 meV/atom
formation energy without anion corrections: 0.4 eV per formula unit
total DFT energy (no corrections): -21.056 eV per cell

Cell: 4.9836 4.9836 4.9836 Å, 60.00 60.00 60.00°
Closest atoms and distances in Å follow each position.
Element x y z (fractional)
I 0.5000 0.5000 0.5000  8 Zr 3.05
Zr 0.2500 0.2500 0.2500  4 I 3.05, 4 Ag 3.05
Zr 0.7500 0.7500 0.7500  4 Ag 3.05, 4 I 3.05
Ag 0.0000 0.0000 0.0000  8 Zr 3.05

Entry 2:
A geometry-optimized Zr2AgI8 structure. Source: Alexandria, functional PBE.

Properties
size of the total moment: 1.06 μB per cell
formation energy without anion corrections: -7.2 eV per formula unit
total DFT energy (no corrections): -39.561 eV per cell

Cell: 7.4784 8.9549 8.9549 Å, 81.72 89.03 89.03°
Closest atoms and distances in Å follow each position.
Element x y z (fractional)
Zr 0.3570 0.2064 0.2064  4 I 2.71-2.75
Zr 0.6430 0.7936 0.7936  4 I 2.71-2.75
I 0.7219 0.1919 0.1919  1 Zr 2.73
I 0.2158 0.2872 0.9237  1 Zr 2.75, 1 Ag 3.05
I 0.2158 0.9237 0.2872  1 Zr 2.75, 1 Ag 3.05
I 0.7842 0.0763 0.7128  1 Zr 2.75, 1 Ag 3.05
I 0.7842 0.7128 0.0763  1 Zr 2.75, 1 Ag 3.05
I 0.2381 0.3970 0.3970  1 Zr 2.71
I 0.7619 0.6030 0.6030  1 Zr 2.71
I 0.2781 0.8081 0.8081  1 Zr 2.73
Ag 0.0000 0.0000 0.0000  6 I 3.05-3.29

Entry 3:
A geometry-optimized ZrAgI2 structure. Source: Alexandria, functional PBE.

Properties
size of the total moment: 5.82 μB per cell
E above lowest polymorph: 145 meV/atom
formation energy without anion corrections: 0.9 eV per formula unit
total DFT energy (no corrections): -27.120 eV per cell

Cell: 7.3394 7.3394 7.4413 Å, 60.45 60.45 90.00°
Closest atoms and distances in Å follow each position.
Element x y z (fractional)
Zr 0.5000 0.5000 0.0000  4 I 2.93
Zr 0.2500 0.7500 0.5000  4 I 2.93
I 0.8750 0.8785 0.7500  2 Ag 2.90, 2 Zr 2.93
I 0.1215 0.6250 0.2500  2 Ag 2.90, 2 Zr 2.93
I 0.6285 0.1250 0.2500  2 Ag 2.90, 2 Zr 2.93
I 0.3750 0.3715 0.7500  2 Ag 2.90, 2 Zr 2.93
Ag 0.7500 0.2500 0.5000  4 I 2.90
Ag 0.0000 0.0000 0.0000  4 I 2.90

Entry 4:
A geometry-optimized ZrAgI6 structure. Source: Alexandria, functional PBE.

Properties
size of the total moment: 0.00 μB per cell
formation energy without anion corrections: -4.3 eV per formula unit
total DFT energy (no corrections): -24.956 eV per cell

Cell: 7.0985 7.7449 8.1475 Å, 57.50 62.44 60.96°
Closest atoms and distances in Å follow each position.
Element x y z (fractional)
I 0.9175 0.5887 0.2412  1 Ag 2.89, 1 Zr 2.89
I 0.3940 0.7880 0.7706  1 Zr 2.83
I 0.2409 0.9043 0.2603  1 Ag 2.86, 1 Zr 2.90
I 0.7591 0.0957 0.7397  1 Ag 2.86, 1 Zr 2.90
I 0.0825 0.4113 0.7588  1 Ag 2.89, 1 Zr 2.89
I 0.6060 0.2120 0.2294  1 Zr 2.83
Ag 0.5000 0.5000 0.5000  4 I 2.86-2.89
Zr 0.0000 0.0000 0.0000  6 I 2.83-2.90

Entry 5:
A geometry-optimized InAg structure. Source: Alexandria, functional PBE.

Properties
size of the total moment: 0.00 μB per cell
total DFT energy (no corrections): -32.316 eV per cell
ΔH_f (0 K): 0.102 eV per atom

Cell: 9.8571 9.8571 3.3272 Å, 90.00 90.00 120.00°
Closest atoms and distances in Å follow each position.
Element x y z (fractional)
In 0.0516 0.2884 0.2500  4 Ag 2.85-3.04, 4 In 3.11
In 0.9484 0.7116 0.7500  4 Ag 2.85-3.04, 4 In 3.11
In 0.2884 0.2368 0.7500  4 Ag 2.85-3.04, 4 In 3.11
In 0.2368 0.9484 0.2500  4 Ag 2.85-3.04, 4 In 3.11
In 0.7632 0.0516 0.7500  4 Ag 2.85-3.04, 4 In 3.11
In 0.7116 0.7632 0.2500  4 Ag 2.85-3.04, 4 In 3.11
Ag 0.6119 0.4694 0.7500  4 In 2.85-3.04, 4 Ag 2.91-3.05
Ag 0.4694 0.8576 0.2500  4 In 2.85-3.04, 4 Ag 2.91-3.05
Ag 0.8576 0.3881 0.7500  4 In 2.85-3.04, 4 Ag 2.91-3.05
Ag 0.5306 0.1424 0.7500  4 In 2.85-3.04, 4 Ag 2.91-3.05
Ag 0.3881 0.5306 0.2500  4 In 2.85-3.04, 4 Ag 2.91-3.05
Ag 0.1424 0.6119 0.2500  4 In 2.85-3.04, 4 Ag 2.91-3.05

Entry 6:
A geometry-optimized In3Ag13 structure. Source: Alexandria, functional PBE.

Properties
size of the total moment: 0.00 μB per cell
total DFT energy (no corrections): -45.384 eV per cell
ΔH_f (0 K): -0.006 eV per atom

Cell: 5.8316 5.8316 8.8397 Å, 90.00 90.00 89.85°
Closest atoms and distances in Å follow each position.
Element x y z (fractional)
Ag 0.4960 0.5040 0.2535  11 Ag 2.90-3.09, 1 In 2.96
Ag 0.7474 0.7445 0.5000  10 Ag 2.87-3.01, 2 In 2.99
Ag 0.5044 0.0017 0.7477  3 In 2.89-3.03, 9 Ag 2.90-3.07
Ag 0.7540 0.7626 0.0000  4 In 2.88-3.04, 8 Ag 2.91-3.09
Ag 0.5044 0.0017 0.2523  3 In 2.89-3.03, 9 Ag 2.90-3.07
Ag 0.2555 0.2526 0.5000  10 Ag 2.87-3.01, 2 In 2.99
Ag 0.2374 0.2460 0.0000  4 In 2.88-3.04, 8 Ag 2.91-3.09
Ag 0.2551 0.7449 0.5000  10 Ag 2.87-3.03, 2 In 2.94
Ag 0.9983 0.4956 0.7477  3 In 2.89-3.03, 9 Ag 2.90-3.07
Ag 0.7496 0.2504 0.5000  10 Ag 2.88-3.02, 2 In 3.01
Ag 0.4960 0.5040 0.7465  11 Ag 2.90-3.09, 1 In 2.96
Ag 0.9983 0.4956 0.2523  3 In 2.89-3.03, 9 Ag 2.90-3.07
Ag 0.2559 0.7441 0.0000  10 Ag 2.91-3.06, 2 In 3.07
In 0.0085 0.9915 0.2590  11 Ag 2.89-3.07, 1 In 3.24
In 0.7304 0.2696 0.0000  10 Ag 2.88-3.03
In 0.0085 0.9915 0.7410  11 Ag 2.89-3.07, 1 In 3.24

Entry 7:
A geometry-optimized InAg5 structure. Source: Alexandria, functional PBE.

Properties
size of the total moment: 0.00 μB per cell
E above lowest polymorph: 27 meV/atom
total DFT energy (no corrections): -16.954 eV per cell
ΔH_f (0 K): 0.007 eV per atom

Cell: 7.8336 7.8336 4.7916 Å, 90.00 90.00 157.56°
Closest atoms and distances in Å follow each position.
Element x y z (fractional)
Ag 0.7823 0.2177 0.5000  10 Ag 2.92-3.05, 2 In 3.02
Ag 0.4442 0.5558 0.5000  10 Ag 2.92-3.05, 2 In 3.00
Ag 0.3319 0.6681 0.0000  12 Ag 2.94-3.05
Ag 0.9954 0.0046 0.0000  10 Ag 2.94-3.05, 2 In 3.00
Ag 0.6668 0.3332 0.0000  4 In 2.96, 8 Ag 2.96-3.05
In 0.1127 0.8873 0.5000  10 Ag 2.96-3.02, 2 In 3.05

Entry 8:
A geometry-optimized InAg5 structure. Source: Alexandria, functional PBE.

Properties
size of the total moment: 0.00 μB per cell
E above lowest polymorph: 2 meV/atom
total DFT energy (no corrections): -17.106 eV per cell
ΔH_f (0 K): -0.018 eV per atom

Cell: 5.1317 5.1317 4.8782 Å, 90.00 90.00 120.00°
Closest atoms and distances in Å follow each position.
Element x y z (fractional)
Ag 0.3333 0.6649 0.0000  10 Ag 2.96-2.98, 2 In 2.98
Ag 0.9983 0.0000 0.0000  10 Ag 2.96-2.98, 2 In 2.98
Ag 0.6667 0.6667 0.5000  3 In 2.96, 9 Ag 2.96-2.98
Ag 0.0000 0.3333 0.5000  3 In 2.96, 9 Ag 2.96-2.98
Ag 0.6684 0.3351 0.0000  10 Ag 2.96-2.98, 2 In 2.98
In 0.3333 0.0000 0.5000  12 Ag 2.96-2.98

Repeat the second record exactly.
A geometry-optimized Zr2AgI8 structure. Source: Alexandria, functional PBE.

Properties
size of the total moment: 1.06 μB per cell
formation energy without anion corrections: -7.2 eV per formula unit
total DFT energy (no corrections): -39.561 eV per cell

Cell: 7.4784 8.9549 8.9549 Å, 81.72 89.03 89.03°
Closest atoms and distances in Å follow each position.
Element x y z (fractional)
Zr 0.3570 0.2064 0.2064  4 I 2.71-2.75
Zr 0.6430 0.7936 0.7936  4 I 2.71-2.75
I 0.7219 0.1919 0.1919  1 Zr 2.73
I 0.2158 0.2872 0.9237  1 Zr 2.75, 1 Ag 3.05
I 0.2158 0.9237 0.2872  1 Zr 2.75, 1 Ag 3.05
I 0.7842 0.0763 0.7128  1 Zr 2.75, 1 Ag 3.05
I 0.7842 0.7128 0.0763  1 Zr 2.75, 1 Ag 3.05
I 0.2381 0.3970 0.3970  1 Zr 2.71
I 0.7619 0.6030 0.6030  1 Zr 2.71
I 0.2781 0.8081 0.8081  1 Zr 2.73
Ag 0.0000 0.0000 0.0000  6 I 3.05-3.29

Copy entry 2 word for word.
A geometry-optimized Zr2AgI8 structure. Source: Alexandria, functional PBE.

Properties
size of the total moment: 1.06 μB per cell
formation energy without anion corrections: -7.2 eV per formula unit
total DFT energy (no corrections): -39.561 eV per cell

Cell: 7.4784 8.9549 8.9549 Å, 81.72 89.03 89.03°
Closest atoms and distances in Å follow each position.
Element x y z (fractional)
Zr 0.3570 0.2064 0.2064  4 I 2.71-2.75
Zr 0.6430 0.7936 0.7936  4 I 2.71-2.75
I 0.7219 0.1919 0.1919  1 Zr 2.73
I 0.2158 0.2872 0.9237  1 Zr 2.75, 1 Ag 3.05
I 0.2158 0.9237 0.2872  1 Zr 2.75, 1 Ag 3.05
I 0.7842 0.0763 0.7128  1 Zr 2.75, 1 Ag 3.05
I 0.7842 0.7128 0.0763  1 Zr 2.75, 1 Ag 3.05
I 0.2381 0.3970 0.3970  1 Zr 2.71
I 0.7619 0.6030 0.6030  1 Zr 2.71
I 0.2781 0.8081 0.8081  1 Zr 2.73
Ag 0.0000 0.0000 0.0000  6 I 3.05-3.29

Please write out number 6 again, unchanged.
A geometry-optimized In3Ag13 structure. Source: Alexandria, functional PBE.

Properties
size of the total moment: 0.00 μB per cell
total DFT energy (no corrections): -45.384 eV per cell
ΔH_f (0 K): -0.006 eV per atom

Cell: 5.8316 5.8316 8.8397 Å, 90.00 90.00 89.85°
Closest atoms and distances in Å follow each position.
Element x y z (fractional)
Ag 0.4960 0.5040 0.2535  11 Ag 2.90-3.09, 1 In 2.96
Ag 0.7474 0.7445 0.5000  10 Ag 2.87-3.01, 2 In 2.99
Ag 0.5044 0.0017 0.7477  3 In 2.89-3.03, 9 Ag 2.90-3.07
Ag 0.7540 0.7626 0.0000  4 In 2.88-3.04, 8 Ag 2.91-3.09
Ag 0.5044 0.0017 0.2523  3 In 2.89-3.03, 9 Ag 2.90-3.07
Ag 0.2555 0.2526 0.5000  10 Ag 2.87-3.01, 2 In 2.99
Ag 0.2374 0.2460 0.0000  4 In 2.88-3.04, 8 Ag 2.91-3.09
Ag 0.2551 0.7449 0.5000  10 Ag 2.87-3.03, 2 In 2.94
Ag 0.9983 0.4956 0.7477  3 In 2.89-3.03, 9 Ag 2.90-3.07
Ag 0.7496 0.2504 0.5000  10 Ag 2.88-3.02, 2 In 3.01
Ag 0.4960 0.5040 0.7465  11 Ag 2.90-3.09, 1 In 2.96
Ag 0.9983 0.4956 0.2523  3 In 2.89-3.03, 9 Ag 2.90-3.07
Ag 0.2559 0.7441 0.0000  10 Ag 2.91-3.06, 2 In 3.07
In 0.0085 0.9915 0.2590  11 Ag 2.89-3.07, 1 In 3.24
In 0.7304 0.2696 0.0000  10 Ag 2.88-3.03
In 0.0085 0.9915 0.7410  11 Ag 2.89-3.07, 1 In 3.24